[1]
## KSr8Pd2 (PBE)

Data for a relaxed KSr8Pd2 crystal.

Cell lengths 9.9502, 9.9502, 7.2116 Å; angles 97.37, 97.37, 46.89 degrees
With the nearest neighbours (Å) after each atom.
Atoms (fractional coordinates):
K (0.0000, 0.0000, 0.0000)  10 Sr 4.02-4.45
Sr (0.1067, 0.6051, 0.6098)  2 Pd 3.10-3.14
Sr (0.2117, 0.2117, 0.9031)  1 Pd 3.08
Sr (0.3949, 0.8933, 0.3902)  2 Pd 3.10-3.14
Sr (0.4217, 0.4217, 0.1743)  1 Pd 3.09
Sr (0.5783, 0.5783, 0.8257)  1 Pd 3.09
Sr (0.6051, 0.1067, 0.6098)  2 Pd 3.10-3.14
Sr (0.7883, 0.7883, 0.0969)  1 Pd 3.08
Sr (0.8933, 0.3949, 0.3902)  2 Pd 3.10-3.14
Pd (0.2713, 0.2713, 0.3241)  6 Sr 3.08-3.14
Pd (0.7287, 0.7287, 0.6759)  6 Sr 3.08-3.14

Results
DFT total energy: -2.462 eV/atom

***

[2]
## KSr3Pd (PBE)

Data for a relaxed KSr3Pd crystal.

Cell lengths 4.4742, 6.1098, 8.8924 Å; angles 90.00, 90.15, 90.08 degrees
With the nearest neighbours (Å) after each atom.
Atoms (fractional coordinates):
K (0.0000, 0.0000, 0.0000)  10 Sr 4.45-4.49, 2 K 4.47
Sr (0.0000, 0.0000, 0.5000)  2 Pd 3.05
Sr (0.4991, 0.5000, 0.2696)  2 Pd 3.03
Sr (0.5009, 0.5000, 0.7304)  2 Pd 3.03
Pd (0.0000, 0.5000, 0.5000)  6 Sr 3.03-3.05

Results
DFT total energy: -2.529 eV/atom
Polymorph energy (0 for the lowest one): 0.0 meV/atom

***

[3]
## KSr3Pd (PBE)

Data for a relaxed KSr3Pd crystal.

Cell lengths 8.9005, 8.9005, 8.9005 Å; angles 54.90, 54.90, 54.90 degrees
With the nearest neighbours (Å) after each atom.
Atoms (fractional coordinates):
K (0.0000, 0.0000, 0.0000)  6 Sr 4.43-4.48
Sr (0.0121, 0.0121, 0.4886)  1 Pd 2.89
Sr (0.0121, 0.4886, 0.0121)  1 Pd 2.89
Sr (0.4886, 0.0121, 0.0121)  1 Pd 2.89
Pd (0.2510, 0.2510, 0.2510)  3 Sr 2.89

Results
DFT total energy: -1.839 eV/atom
Polymorph energy (0 for the lowest one): 690.2 meV/atom

***

[4]
## KSr3Pd (PBE)

Data for a relaxed KSr3Pd crystal.

Cell lengths 6.6982, 6.6982, 6.6982 Å; angles 90.00, 90.00, 90.00 degrees
With the nearest neighbours (Å) after each atom.
Atoms (fractional coordinates):
K (0.0000, 0.0000, 0.0000)  6 Sr 3.35
Sr (0.0000, 0.0000, 0.5000)  2 K 3.35
Sr (0.0000, 0.5000, 0.0000)  2 K 3.35
Sr (0.5000, 0.0000, 0.0000)  2 K 3.35
Pd (0.5000, 0.5000, 0.5000)  12 Sr 4.74

Results
DFT total energy: -1.222 eV/atom
Polymorph energy (0 for the lowest one): 1307.4 meV/atom

***

[5]
## K3SrPd (PBE)

Data for a relaxed K3SrPd crystal.

Cell lengths 6.4097, 6.4097, 6.4097 Å; angles 90.00, 90.00, 90.00 degrees
With the nearest neighbours (Å) after each atom.
Atoms (fractional coordinates):
K (0.0000, 0.0000, 0.5000)  2 Pd 3.20
K (0.0000, 0.5000, 0.0000)  2 Pd 3.20
K (0.5000, 0.0000, 0.0000)  2 Pd 3.20
Sr (0.5000, 0.5000, 0.5000)  12 K 4.53
Pd (0.0000, 0.0000, 0.0000)  6 K 3.20

Results
DFT total energy: -1.842 eV/atom
Polymorph energy (0 for the lowest one): 0.0 meV/atom

***

[6]
## KSr3Pd (PBE)

Data for a relaxed KSr3Pd crystal.

Cell lengths 6.3300, 7.4481, 11.3161 Å; angles 84.07, 80.40, 65.98 degrees
With the nearest neighbours (Å) after each atom.
Atoms (fractional coordinates):
K (0.1322, 0.2032, 0.0429)  3 K 4.11-4.41, 2 Sr 4.23-4.34
K (0.8678, 0.7968, 0.9571)  3 K 4.11-4.41, 2 Sr 4.23-4.34
Sr (0.0299, 0.7018, 0.5850)  3 Pd 3.08-3.36
Sr (0.3529, 0.0321, 0.6725)  2 Pd 3.08-3.11
Sr (0.3914, 0.5861, 0.2527)  1 Pd 3.07
Sr (0.6086, 0.4139, 0.7473)  1 Pd 3.07
Sr (0.6471, 0.9679, 0.3275)  2 Pd 3.08-3.11
Sr (0.9701, 0.2982, 0.4150)  3 Pd 3.08-3.36
Pd (0.4457, 0.3323, 0.4866)  1 Pd 2.90, 5 Sr 3.07-3.19
Pd (0.5543, 0.6677, 0.5134)  1 Pd 2.90, 5 Sr 3.07-3.19

Results
DFT total energy: -2.497 eV/atom
Polymorph energy (0 for the lowest one): 32.1 meV/atom

***

[7]
## K3SrPd (PBE)

Data for a relaxed K3SrPd crystal.

Cell lengths 7.4169, 7.4169, 7.4169 Å; angles 90.00, 90.00, 90.00 degrees
With the nearest neighbours (Å) after each atom.
Atoms (fractional coordinates):
K (0.0000, 0.0000, 0.5000)  2 Sr 3.71
K (0.0000, 0.5000, 0.0000)  2 Sr 3.71
K (0.5000, 0.0000, 0.0000)  2 Sr 3.71
Sr (0.0000, 0.0000, 0.0000)  6 K 3.71
Pd (0.5000, 0.5000, 0.5000)  12 K 5.24

Results
DFT total energy: -1.072 eV/atom
Polymorph energy (0 for the lowest one): 770.1 meV/atom

***

[8]
## KSr3Pd (PBE)

Data for a relaxed KSr3Pd crystal.

Cell lengths 11.6330, 11.6330, 11.6330 Å; angles 60.00, 60.00, 60.00 degrees
With the nearest neighbours (Å) after each atom.
Atoms (fractional coordinates):
K (0.0000, 0.0000, 0.0000)  6 Sr 4.31
K (0.0000, 0.0000, 0.5000)  6 Sr 4.31
K (0.0000, 0.5000, 0.0000)  6 Sr 4.31
K (0.5000, 0.0000, 0.0000)  6 Sr 4.31
Sr (0.1933, 0.1933, 0.5567)  2 Pd 3.05
Sr (0.1933, 0.5567, 0.1933)  2 Pd 3.05
Sr (0.1933, 0.5567, 0.5567)  2 Pd 3.05
Sr (0.4433, 0.4433, 0.8067)  2 Pd 3.05
Sr (0.4433, 0.8067, 0.4433)  2 Pd 3.05
Sr (0.4433, 0.8067, 0.8067)  2 Pd 3.05
Sr (0.5567, 0.1933, 0.1933)  2 Pd 3.05
Sr (0.5567, 0.1933, 0.5567)  2 Pd 3.05
Sr (0.5567, 0.5567, 0.1933)  2 Pd 3.05
Sr (0.8067, 0.4433, 0.4433)  2 Pd 3.05
Sr (0.8067, 0.4433, 0.8067)  2 Pd 3.05
Sr (0.8067, 0.8067, 0.4433)  2 Pd 3.05
Pd (0.0000, 0.5000, 0.5000)  6 Sr 3.05
Pd (0.5000, 0.0000, 0.5000)  6 Sr 3.05
Pd (0.5000, 0.5000, 0.0000)  6 Sr 3.05
Pd (0.5000, 0.5000, 0.5000)  6 Sr 3.05

Results
DFT total energy: -2.445 eV/atom
Polymorph energy (0 for the lowest one): 84.6 meV/atom

***

[9]
## KSrTl2Pd (PBE)

Data for a relaxed KSrTl2Pd crystal.

Cell lengths 5.5265, 5.5265, 5.6423 Å; angles 90.00, 90.00, 90.00 degrees
With the nearest neighbours (Å) after each atom.
Atoms (fractional coordinates):
K (0.0000, 0.0000, 0.0000)  4 Sr 3.91, 8 Tl 3.95
Sr (0.5000, 0.5000, 0.0000)  2 Pd 2.82
Tl (0.0000, 0.5000, 0.5000)  2 Pd 2.76
Tl (0.5000, 0.0000, 0.5000)  2 Pd 2.76
Pd (0.5000, 0.5000, 0.5000)  4 Tl 2.76, 2 Sr 2.82

Results
DFT total energy: -2.731 eV/atom

***

[10]
## KSrZn2Pd (PBE)

Data for a relaxed KSrZn2Pd crystal.

Cell lengths 5.1581, 5.1581, 5.5525 Å; angles 90.00, 90.00, 90.00 degrees
With the nearest neighbours (Å) after each atom.
Atoms (fractional coordinates):
K (0.0000, 0.0000, 0.0000)  4 Sr 3.65, 8 Zn 3.79
Sr (0.5000, 0.5000, 0.0000)  2 Pd 2.78
Zn (0.0000, 0.5000, 0.5000)  2 Pd 2.58
Zn (0.5000, 0.0000, 0.5000)  2 Pd 2.58
Pd (0.5000, 0.5000, 0.5000)  4 Zn 2.58, 2 Sr 2.78

Results
DFT total energy: -2.230 eV/atom

***

[11]
## KSr2ZrPd (PBE)

Data for a relaxed KSr2ZrPd crystal.

Cell lengths 6.3777, 6.3777, 5.0042 Å; angles 90.00, 90.00, 90.00 degrees
With the nearest neighbours (Å) after each atom.
Atoms (fractional coordinates):
K (0.0000, 0.0000, 0.0000)  8 Sr 4.05, 4 Pd 4.51
Sr (0.0000, 0.5000, 0.5000)  2 Zr 3.19
Sr (0.5000, 0.0000, 0.5000)  2 Zr 3.19
Zr (0.5000, 0.5000, 0.5000)  2 Pd 2.50
Pd (0.5000, 0.5000, 0.0000)  2 Zr 2.50

Results
DFT total energy: -3.170 eV/atom

***

[12]
## K3TaPd (PBE)

Data for a relaxed K3TaPd crystal.

Cell lengths 6.4996, 6.4996, 6.4996 Å; angles 90.00, 90.00, 90.00 degrees
With the nearest neighbours (Å) after each atom.
Atoms (fractional coordinates):
K (0.0000, 0.0000, 0.5000)  2 Ta 3.25
K (0.0000, 0.5000, 0.0000)  2 Ta 3.25
K (0.5000, 0.0000, 0.0000)  2 Ta 3.25
Ta (0.0000, 0.0000, 0.0000)  6 K 3.25
Pd (0.5000, 0.5000, 0.5000)  12 K 4.60

Results
DFT total energy: -2.385 eV/atom
Polymorph energy (0 for the lowest one): 352.9 meV/atom

***

Number 1: DFT formation energy -195 meV/atom, V 516.1 Å³/cell. Number 2: DFT formation energy -262 meV/atom, V 243.1 Å³/cell. Number 3: DFT formation energy 428 meV/atom, V 439.4 Å³/cell. Number 4: DFT formation energy 1045 meV/atom, V 300.5 Å³/cell. Number 5: DFT formation energy 192 meV/atom, V 263.3 Å³/cell. Number 6: DFT formation energy -230 meV/atom, V 480.1 Å³/cell. Number 7: DFT formation energy 962 meV/atom, V 408.0 Å³/cell. Number 8: DFT formation energy -178 meV/atom, V 1113.2 Å³/cell. Number 9: DFT formation energy -190 meV/atom, V 172.3 Å³/cell. Number 10: DFT formation energy -126 meV/atom, V 147.7 Å³/cell. Number 11: DFT formation energy 470 meV/atom, V 203.5 Å³/cell. Number 12: DFT formation energy 1683 meV/atom, V 274.6 Å³/cell.